[1]
Material: CaAc6Ho2
Method: DFT, PBE
State: optimized geometry

abc: 6.7105 6.7105 11.5419
angles: 90.00 90.00 120.00
Space group P-31m (No. 162)
Inequivalent atoms, fractional coordinates:
1 Ca 0.0000 0.0000 0.0000 [1 per cell]
2 Ac 0.0000 0.3337 0.2586 [6 per cell]
3 Ho 0.3333 0.6667 0.5000 [2 per cell]

Output
**Formation energy**: 493 meV per atom
**Total DFT energy (no corrections)**: -3.49 eV per atom
**Fermi-level density of states**: 1.3904 states/eV per atom



[2]
Material: CaAcHo2
Method: DFT, PBE
State: optimized geometry

abc: 3.783 3.783 10.244
angles: 90.00 90.00 90.00
Space group P4/mmm (No. 123)
Inequivalent atoms, fractional coordinates:
1 Ca 0.000 0.000 0.000 [1 per cell]
2 Ac 0.000 0.000 0.500 [1 per cell]
3 Ho 0.500 0.500 0.255 [2 per cell]

Output
**Formation energy**: 118 meV per atom
**ΔE to the lowest computed polymorph**: 0.0150 eV/atom
**Total DFT energy (no corrections)**: -3.70 eV per atom
**Fermi-level density of states**: 1.8736 states/eV per atom



Please write out number 1 again, unchanged.
Material: CaAc6Ho2
Method: DFT, PBE
State: optimized geometry

abc: 6.7105 6.7105 11.5419
angles: 90.00 90.00 120.00
Space group P-31m (No. 162)
Inequivalent atoms, fractional coordinates:
1 Ca 0.0000 0.0000 0.0000 [1 per cell]
2 Ac 0.0000 0.3337 0.2586 [6 per cell]
3 Ho 0.3333 0.6667 0.5000 [2 per cell]

Output
**Formation energy**: 493 meV per atom
**Total DFT energy (no corrections)**: -3.49 eV per atom
**Fermi-level density of states**: 1.3904 states/eV per atom



Q: Among the records above, which one has the highest total DFT energy (no corrections)?
A: CaAc6Ho2



Please write out number 2 again, unchanged.
Material: CaAcHo2
Method: DFT, PBE
State: optimized geometry

abc: 3.783 3.783 10.244
angles: 90.00 90.00 90.00
Space group P4/mmm (No. 123)
Inequivalent atoms, fractional coordinates:
1 Ca 0.000 0.000 0.000 [1 per cell]
2 Ac 0.000 0.000 0.500 [1 per cell]
3 Ho 0.500 0.500 0.255 [2 per cell]

Output
**Formation energy**: 118 meV per atom
**ΔE to the lowest computed polymorph**: 0.0150 eV/atom
**Total DFT energy (no corrections)**: -3.70 eV per atom
**Fermi-level density of states**: 1.8736 states/eV per atom



Q: What is the formula in the second record?
A: CaAcHo2